Entry 1:
# Rb3InCl6 GGA-PBEsol relaxed
# formation energy from raw total energies	-36.9	kcal/mol of atoms
data_Rb3InCl6
_cell_length_a 11.0324
_cell_length_b 11.0324
_cell_length_c 11.0324
_cell_angle_alpha 90.00
_cell_angle_beta 90.00
_cell_angle_gamma 90.00
_symmetry_space_group_name_H-M 'F m -3 m'
_symmetry_Int_Tables_number 225
_symmetry_space_group_name_Hall '-F 4 2 3'
loop_
_atom_site_label
_atom_site_type_symbol
_atom_site_fract_x
_atom_site_fract_y
_atom_site_fract_z
Rb1 Rb 0.0000 0.0000 0.0000
Rb2 Rb 0.2500 0.2500 0.2500
In1 In 0.0000 0.0000 0.5000
Cl1 Cl 0.0000 0.0000 0.2731



Entry 2:
# Rb2InCl GGA-PBEsol relaxed
# formation energy from raw total energies	-10.9	kcal/mol of atoms
data_Rb2InCl
_cell_length_a 8.5563
_cell_length_b 8.5563
_cell_length_c 8.5563
_cell_angle_alpha 90.00
_cell_angle_beta 90.00
_cell_angle_gamma 90.00
_symmetry_space_group_name_H-M 'F m -3 m'
_symmetry_Int_Tables_number 225
_symmetry_space_group_name_Hall '-F 4 2 3'
loop_
_atom_site_label
_atom_site_type_symbol
_atom_site_fract_x
_atom_site_fract_y
_atom_site_fract_z
Rb1 Rb 0.2500 0.2500 0.2500
In1 In 0.0000 0.0000 0.0000
Cl1 Cl 0.0000 0.0000 0.5000



Entry 3:
# RbInCl2 GGA-PBEsol relaxed
# polymorph energy (0 for the lowest one)	7.48	kJ per mole of atoms
# formation energy from raw total energies	-27.9	kcal/mol of atoms
data_RbInCl2
_cell_length_a 6.9105
_cell_length_b 6.9105
_cell_length_c 14.9367
_cell_angle_alpha 90.00
_cell_angle_beta 90.00
_cell_angle_gamma 90.00
_symmetry_space_group_name_H-M 'I -4 2 d'
_symmetry_Int_Tables_number 122
_symmetry_space_group_name_Hall 'I -4 2bw'
loop_
_atom_site_label
_atom_site_type_symbol
_atom_site_fract_x
_atom_site_fract_y
_atom_site_fract_z
Rb1 Rb 0.0000 0.0000 0.0000
In1 In 0.0000 0.0000 0.5000
Cl1 Cl 0.2294 0.2500 0.6250



Entry 4:
# RbInCl2 GGA-PBEsol relaxed
# polymorph energy (0 for the lowest one)	0.00	kJ per mole of atoms
# formation energy from raw total energies	-29.7	kcal/mol of atoms
data_RbInCl2
_cell_length_a 7.6190
_cell_length_b 7.6190
_cell_length_c 7.6190
_cell_angle_alpha 90.00
_cell_angle_beta 90.00
_cell_angle_gamma 90.00
_symmetry_space_group_name_H-M 'F m -3 m'
_symmetry_Int_Tables_number 225
_symmetry_space_group_name_Hall '-F 4 2 3'
loop_
_atom_site_label
_atom_site_type_symbol
_atom_site_fract_x
_atom_site_fract_y
_atom_site_fract_z
Rb1 Rb 0.0000 0.0000 0.0000
In1 In 0.0000 0.0000 0.5000
Cl1 Cl 0.2500 0.2500 0.2500



Entry 5:
# InReCl2 GGA-PBEsol relaxed
# polymorph energy (0 for the lowest one)	40.99	kJ per mole of atoms
# formation energy from raw total energies	13.2	kcal/mol of atoms
data_InReCl2
_cell_length_a 2.9326
_cell_length_b 4.5129
_cell_length_c 5.4006
_cell_angle_alpha 90.00
_cell_angle_beta 90.00
_cell_angle_gamma 90.00
_symmetry_space_group_name_H-M 'P m m m'
_symmetry_Int_Tables_number 47
loop_
_symmetry_equiv_pos_as_xyz
'x,y,z'
'-x,-y,-z'
'-x,-y,z'
'x,y,-z'
'x,-y,-z'
'-x,y,z'
'-x,y,-z'
'x,-y,z'
loop_
_atom_site_label
_atom_site_type_symbol
_atom_site_fract_x
_atom_site_fract_y
_atom_site_fract_z
In1 In 0.0000 0.0000 0.0000
Re1 Re 0.5000 0.0000 0.5000
Cl1 Cl 0.0000 0.5000 0.5000
Cl2 Cl 0.5000 0.5000 0.0000



Entry 6:
# InRe2Cl GGA-PBEsol relaxed
# formation energy from raw total energies	20.9	kcal/mol of atoms
data_InRe2Cl
_cell_length_a 3.0917
_cell_length_b 4.9442
_cell_length_c 4.5748
_cell_angle_alpha 90.00
_cell_angle_beta 92.66
_cell_angle_gamma 90.00
_symmetry_space_group_name_H-M 'P 1 2/m 1'
_symmetry_Int_Tables_number 10
loop_
_symmetry_equiv_pos_as_xyz
'x,y,z'
'-x,-y,-z'
'-x,y,-z'
'x,-y,z'
loop_
_atom_site_label
_atom_site_type_symbol
_atom_site_fract_x
_atom_site_fract_y
_atom_site_fract_z
In1 In 0.0000 0.0000 0.0000
Re1 Re 0.3102 0.5000 0.2258
Cl1 Cl 0.5000 0.0000 0.5000



Entry 7:
# InReCl2 GGA-PBEsol relaxed
# polymorph energy (0 for the lowest one)	0.00	kJ per mole of atoms
# formation energy from raw total energies	3.4	kcal/mol of atoms
data_InReCl2
_cell_length_a 3.1077
_cell_length_b 5.6780
_cell_length_c 9.1260
_cell_angle_alpha 90.00
_cell_angle_beta 90.00
_cell_angle_gamma 90.00
_symmetry_space_group_name_H-M 'C m m 2'
_symmetry_Int_Tables_number 35
loop_
_symmetry_equiv_pos_as_xyz
'x,y,z'
'-x,-y,z'
'-x,y,z'
'x,-y,z'
'x+1/2,y+1/2,z'
'-x+1/2,-y+1/2,z'
'-x+1/2,y+1/2,z'
'x+1/2,-y+1/2,z'
loop_
_atom_site_label
_atom_site_type_symbol
_atom_site_fract_x
_atom_site_fract_y
_atom_site_fract_z
In1 In 0.0000 0.0000 0.0000
Re1 Re 0.0000 0.5000 0.2436
Cl1 Cl 0.0000 0.0000 0.4350
Cl2 Cl 0.0000 0.5000 0.7786



Entry 8:
# InReCl GGA-PBEsol relaxed
# formation energy from raw total energies	28.8	kcal/mol of atoms
data_InReCl
_cell_length_a 6.3492
_cell_length_b 6.3492
_cell_length_c 6.3492
_cell_angle_alpha 90.00
_cell_angle_beta 90.00
_cell_angle_gamma 90.00
_symmetry_space_group_name_H-M 'F -4 3 m'
_symmetry_Int_Tables_number 216
_symmetry_space_group_name_Hall 'F -4 2 3'
loop_
_atom_site_label
_atom_site_type_symbol
_atom_site_fract_x
_atom_site_fract_y
_atom_site_fract_z
In1 In 0.0000 0.0000 0.0000
Re1 Re 0.2500 0.2500 0.2500
Cl1 Cl 0.0000 0.0000 0.5000



Entry 9:
# InReCl2 GGA-PBEsol relaxed
# polymorph energy (0 for the lowest one)	82.87	kJ per mole of atoms
# formation energy from raw total energies	23.2	kcal/mol of atoms
data_InReCl2
_cell_length_a 6.6401
_cell_length_b 6.6401
_cell_length_c 6.6401
_cell_angle_alpha 90.00
_cell_angle_beta 90.00
_cell_angle_gamma 90.00
_symmetry_space_group_name_H-M 'F m -3 m'
_symmetry_Int_Tables_number 225
_symmetry_space_group_name_Hall '-F 4 2 3'
loop_
_atom_site_label
_atom_site_type_symbol
_atom_site_fract_x
_atom_site_fract_y
_atom_site_fract_z
In1 In 0.0000 0.0000 0.0000
Re1 Re 0.0000 0.0000 0.5000
Cl1 Cl 0.2500 0.2500 0.2500



Entry 10:
# YInRe2Cl GGA-PBEsol relaxed
# formation energy from raw total energies	54.8	kcal/mol of atoms
data_YInRe2Cl
_cell_length_a 4.9017
_cell_length_b 4.9017
_cell_length_c 5.9973
_cell_angle_alpha 90.00
_cell_angle_beta 90.00
_cell_angle_gamma 90.00
_symmetry_space_group_name_H-M 'P 4/m m m'
_symmetry_Int_Tables_number 123
_symmetry_space_group_name_Hall '-P 4 2'
loop_
_atom_site_label
_atom_site_type_symbol
_atom_site_fract_x
_atom_site_fract_y
_atom_site_fract_z
Y1 Y 0.0000 0.0000 0.0000
In1 In 0.0000 0.0000 0.5000
Re1 Re 0.0000 0.5000 0.0000
Cl1 Cl 0.5000 0.5000 0.5000



Entry 11:
# InRhCl GGA-PBEsol relaxed
# formation energy from raw total energies	-0.9	kcal/mol of atoms
data_InRhCl
_cell_length_a 4.3442
_cell_length_b 4.3442
_cell_length_c 3.1633
_cell_angle_alpha 90.00
_cell_angle_beta 90.00
_cell_angle_gamma 120.00
_symmetry_space_group_name_H-M 'P -6 m 2'
_symmetry_Int_Tables_number 187
_symmetry_space_group_name_Hall 'P -6 2'
loop_
_atom_site_label
_atom_site_type_symbol
_atom_site_fract_x
_atom_site_fract_y
_atom_site_fract_z
In1 In 0.0000 0.0000 0.0000
Rh1 Rh 0.3333 0.6667 0.5000
Cl1 Cl 0.6667 0.3333 0.5000



Entry 12:
# InRhS2Cl GGA-PBEsol relaxed
# polymorph energy (0 for the lowest one)	0.00	kJ per mole of atoms
# formation energy from raw total energies	-2.1	kcal/mol of atoms
data_InRhS2Cl
_cell_length_a 4.6069
_cell_length_b 4.6069
_cell_length_c 4.7570
_cell_angle_alpha 90.00
_cell_angle_beta 90.00
_cell_angle_gamma 90.00
_symmetry_space_group_name_H-M 'P 4/m m m'
_symmetry_Int_Tables_number 123
_symmetry_space_group_name_Hall '-P 4 2'
loop_
_atom_site_label
_atom_site_type_symbol
_atom_site_fract_x
_atom_site_fract_y
_atom_site_fract_z
In1 In 0.0000 0.0000 0.0000
Rh1 Rh 0.5000 0.5000 0.5000
S1 S 0.0000 0.5000 0.5000
Cl1 Cl 0.5000 0.5000 0.0000



Entry 13:
# In5S5Cl GGA-PBEsol relaxed
# formation energy from raw total energies	-14.0	kcal/mol of atoms
data_In5S5Cl
_cell_length_a 8.8578
_cell_length_b 3.9050
_cell_length_c 14.8141
_cell_angle_alpha 90.00
_cell_angle_beta 93.49
_cell_angle_gamma 90.00
_symmetry_space_group_name_H-M 'P 1 21/m 1'
_symmetry_Int_Tables_number 11
loop_
_symmetry_equiv_pos_as_xyz
'x,y,z'
'-x,-y,-z'
'-x,y+1/2,-z'
'x,-y+1/2,z'
loop_
_atom_site_label
_atom_site_type_symbol
_atom_site_fract_x
_atom_site_fract_y
_atom_site_fract_z
In1 In 0.0348 0.2500 0.1421
In2 In 0.1394 0.2500 0.5608
In3 In 0.2428 0.7500 0.7861
In4 In 0.3399 0.7500 0.0529
In5 In 0.3671 0.2500 0.3380
S1 S 0.0305 0.2500 0.3958
S2 S 0.1622 0.2500 0.9945
S3 S 0.2022 0.7500 0.2030
S4 S 0.3321 0.2500 0.6945
S5 S 0.4712 0.7500 0.8986
Cl1 Cl 0.3298 0.7500 0.5005



Entry 14:
# InSCl2 GGA-PBEsol relaxed
# formation energy from raw total energies	6.7	kcal/mol of atoms
data_InSCl2
_cell_length_a 3.1661
_cell_length_b 3.1661
_cell_length_c 28.0623
_cell_angle_alpha 90.00
_cell_angle_beta 90.00
_cell_angle_gamma 120.00
_symmetry_space_group_name_H-M 'R -3 m'
_symmetry_Int_Tables_number 166
_symmetry_space_group_name_Hall '-R 3 2"'
loop_
_atom_site_label
_atom_site_type_symbol
_atom_site_fract_x
_atom_site_fract_y
_atom_site_fract_z
In1 In 0.0000 0.0000 0.0000
S1 S 0.0000 0.0000 0.5000
Cl1 Cl 0.0000 0.0000 0.0911



Entry 15:
# InSCl3 GGA-PBEsol relaxed
# formation energy from raw total energies	-5.7	kcal/mol of atoms
data_InSCl3
_cell_length_a 4.9073
_cell_length_b 4.9073
_cell_length_c 4.9073
_cell_angle_alpha 90.00
_cell_angle_beta 90.00
_cell_angle_gamma 90.00
_symmetry_space_group_name_H-M 'P m -3 m'
_symmetry_Int_Tables_number 221
_symmetry_space_group_name_Hall '-P 4 2 3'
loop_
_atom_site_label
_atom_site_type_symbol
_atom_site_fract_x
_atom_site_fract_y
_atom_site_fract_z
In1 In 0.0000 0.0000 0.0000
S1 S 0.5000 0.5000 0.5000
Cl1 Cl 0.0000 0.5000 0.5000



Entry 16:
# InSb2S4Cl GGA-PBEsol relaxed
# formation energy from raw total energies	-11.1	kcal/mol of atoms
data_InSb2S4Cl
_cell_length_a 12.1630
_cell_length_b 3.8299
_cell_length_c 8.1793
_cell_angle_alpha 90.00
_cell_angle_beta 114.01
_cell_angle_gamma 90.00
_symmetry_space_group_name_H-M 'C 1 2/m 1'
_symmetry_Int_Tables_number 12
loop_
_symmetry_equiv_pos_as_xyz
'x,y,z'
'-x,-y,-z'
'-x,y,-z'
'x,-y,z'
'x+1/2,y+1/2,z'
'-x+1/2,-y+1/2,-z'
'-x+1/2,y+1/2,-z'
'x+1/2,-y+1/2,z'
loop_
_atom_site_label
_atom_site_type_symbol
_atom_site_fract_x
_atom_site_fract_y
_atom_site_fract_z
In1 In 0.0000 0.0000 0.0000
Sb1 Sb 0.2053 0.0000 0.7230
S1 S 0.1298 0.5000 0.9463
S2 S 0.1647 0.0000 0.3238
Cl1 Cl 0.0000 0.5000 0.5000



Entry 17:
# InSbSCl2 GGA-PBEsol relaxed
# formation energy from raw total energies	-9.9	kcal/mol of atoms
data_InSbSCl2
_cell_length_a 5.2712
_cell_length_b 5.2712
_cell_length_c 5.1170
_cell_angle_alpha 90.00
_cell_angle_beta 90.00
_cell_angle_gamma 90.00
_symmetry_space_group_name_H-M 'P 4/m m m'
_symmetry_Int_Tables_number 123
_symmetry_space_group_name_Hall '-P 4 2'
loop_
_atom_site_label
_atom_site_type_symbol
_atom_site_fract_x
_atom_site_fract_y
_atom_site_fract_z
In1 In 0.0000 0.0000 0.0000
Sb1 Sb 0.5000 0.5000 0.5000
S1 S 0.5000 0.5000 0.0000
Cl1 Cl 0.0000 0.5000 0.5000



Entry 18:
# ZrInSCl2 GGA-PBEsol relaxed
# formation energy from raw total energies	0.8	kcal/mol of atoms
data_ZrInSCl2
_cell_length_a 4.9695
_cell_length_b 4.9695
_cell_length_c 5.0244
_cell_angle_alpha 90.00
_cell_angle_beta 90.00
_cell_angle_gamma 90.00
_symmetry_space_group_name_H-M 'P 4/m m m'
_symmetry_Int_Tables_number 123
_symmetry_space_group_name_Hall '-P 4 2'
loop_
_atom_site_label
_atom_site_type_symbol
_atom_site_fract_x
_atom_site_fract_y
_atom_site_fract_z
Zr1 Zr 0.0000 0.0000 0.0000
In1 In 0.5000 0.5000 0.5000
S1 S 0.5000 0.5000 0.0000
Cl1 Cl 0.0000 0.5000 0.5000



Entry 19:
# InSbCl2 GGA-PBEsol relaxed
# polymorph energy (0 for the lowest one)	6.64	kJ per mole of atoms
# formation energy from raw total energies	-7.5	kcal/mol of atoms
data_InSbCl2
_cell_length_a 3.2836
_cell_length_b 3.2836
_cell_length_c 8.6833
_cell_angle_alpha 90.00
_cell_angle_beta 90.00
_cell_angle_gamma 90.00
_symmetry_space_group_name_H-M 'P 4/m m m'
_symmetry_Int_Tables_number 123
_symmetry_space_group_name_Hall '-P 4 2'
loop_
_atom_site_label
_atom_site_type_symbol
_atom_site_fract_x
_atom_site_fract_y
_atom_site_fract_z
In1 In 0.0000 0.0000 0.0000
Sb1 Sb 0.0000 0.0000 0.5000
Cl1 Cl 0.5000 0.5000 0.2383



Entry 20:
# InSbCl2 GGA-PBEsol relaxed
# polymorph energy (0 for the lowest one)	4.77	kJ per mole of atoms
# formation energy from raw total energies	-8.0	kcal/mol of atoms
data_InSbCl2
_cell_length_a 3.4668
_cell_length_b 5.8771
_cell_length_c 9.8406
_cell_angle_alpha 90.00
_cell_angle_beta 90.00
_cell_angle_gamma 90.00
_symmetry_space_group_name_H-M 'C m m 2'
_symmetry_Int_Tables_number 35
loop_
_symmetry_equiv_pos_as_xyz
'x,y,z'
'-x,-y,z'
'-x,y,z'
'x,-y,z'
'x+1/2,y+1/2,z'
'-x+1/2,-y+1/2,z'
'-x+1/2,y+1/2,z'
'x+1/2,-y+1/2,z'
loop_
_atom_site_label
_atom_site_type_symbol
_atom_site_fract_x
_atom_site_fract_y
_atom_site_fract_z
In1 In 0.0000 0.0000 0.0000
Sb1 Sb 0.0000 0.5000 0.2873
Cl1 Cl 0.0000 0.0000 0.4950
Cl2 Cl 0.0000 0.5000 0.8048